Computed, not measured: a relaxed structure of Zr2BiPd2 at the GGA-PBEsol level of DFT.

Cell lengths 7.623, 7.623, 3.378 Å; angles 90.00, 90.00, 90.00 degrees
Space group P4/mbm (No. 127)
Asymmetric unit:
Zr 0.166 0.334 0.000 (multiplicity 4)
Bi 0.000 0.000 0.500 (multiplicity 2)
Pd 0.126 0.626 0.500 (multiplicity 4)

Calculated values
* calculated formation energy: -582 meV per atom

***

Computed, not measured: a relaxed structure of TcPAu2 at the GGA-PBEsol level of DFT.

Cell lengths 3.026, 4.354, 9.533 Å; angles 90.00, 90.00, 90.00 degrees
Space group Imm2 (No. 44)
Asymmetric unit:
Tc 0.000 0.000 0.000 (multiplicity 2)
P 0.000 0.500 0.679 (multiplicity 2)
Au 0.000 0.000 0.429 (multiplicity 2)
Au 0.000 0.500 0.223 (multiplicity 2)

Calculated values
* calculated formation energy: 249 meV per atom

***

Computed, not measured: a relaxed structure of AlSe3 at the GGA-PBEsol level of DFT.

Cell lengths 4.249, 4.249, 4.249 Å; angles 90.00, 90.00, 90.00 degrees
Space group Pm-3m (No. 221)
Asymmetric unit:
Al 0.000 0.000 0.000 (multiplicity 1)
Se 0.000 0.500 0.500 (multiplicity 3)

Calculated values
* formation energy (no corrections): 0.352 eV/atom

***

Calculated volume (Å³ per cell), listed in the same order as above: 196.3, 125.6, 76.7